YBiPO2: optimized geometry, PBEsol.

Lattice parameters (Å, degrees): 4.2165 4.2165 5.5303 90.00 90.00 90.00
Fractional positions:
Y  0.0000  0.0000  0.0000
Bi  0.5000  0.5000  0.5000
P  0.0000  0.0000  0.5000
O  0.0000  0.5000  0.0000
O  0.5000  0.0000  0.0000

energy relative to the elements, uncorrected = -1.0187 eV per atom
SG = No. 123
crystal system = tetragonal

Zr2AlPb: optimized geometry, PBEsol.

Lattice parameters (Å, degrees): 4.3875 4.3875 4.3020 90.00 90.00 90.00
Fractional positions:
Zr  0.0000  0.5000  0.0000
Zr  0.5000  0.0000  0.0000
Al  0.0000  0.0000  0.5000
Pb  0.5000  0.5000  0.5000

SG = No. 123
formation energy = -0.281 eV/atom
crystal system = tetragonal

Cu3NiP2O9: optimized geometry, PBEsol.

Lattice parameters (Å, degrees): 8.1870 9.7182 9.7395 90.00 126.46 90.00
Fractional positions:
Cu  0.0762  0.0443  0.3978
Cu  0.0762  0.4557  0.8978
Cu  0.2591  0.1899  0.2509
Cu  0.2591  0.3101  0.7509
Cu  0.4189  0.6078  0.8762
Cu  0.4189  0.8922  0.3762
Cu  0.5811  0.1078  0.6238
Cu  0.5811  0.3922  0.1238
Cu  0.7409  0.6899  0.2491
Cu  0.7409  0.8101  0.7491
Cu  0.9238  0.5443  0.1022
Cu  0.9238  0.9557  0.6022
Ni  0.2684  0.6487  0.5018
Ni  0.2684  0.8513  0.0018
Ni  0.7316  0.1487  0.9982
Ni  0.7316  0.3513  0.4982
P  0.0319  0.1564  0.8641
P  0.0319  0.3436  0.3641
P  0.3889  0.5962  0.2490
P  0.3889  0.9038  0.7490
P  0.6111  0.0962  0.2510
P  0.6111  0.4038  0.7510
P  0.9681  0.6564  0.6359
P  0.9681  0.8436  0.1359
O  0.0066  0.7432  0.7890
O  0.0066  0.7568  0.2890
O  0.1057  0.0124  0.8521
O  0.1057  0.4876  0.3521
O  0.1631  0.5583  0.1098
O  0.1631  0.9417  0.6098
O  0.1665  0.6359  0.6516
O  0.1665  0.8641  0.1516
O  0.1841  0.2356  0.0294
O  0.1841  0.2644  0.5294
O  0.3210  0.0614  0.4208
O  0.3210  0.4386  0.9208
O  0.4149  0.6795  0.3968
O  0.4149  0.8205  0.8968
O  0.4473  0.6894  0.1529
O  0.4473  0.8106  0.6529
O  0.4850  0.5349  0.6925
O  0.4850  0.9651  0.1925
O  0.5150  0.0349  0.8075
O  0.5150  0.4651  0.3075
O  0.5527  0.1894  0.3471
O  0.5527  0.3106  0.8471
O  0.5851  0.1795  0.1032
O  0.5851  0.3205  0.6032
O  0.6790  0.5614  0.0792
O  0.6790  0.9386  0.5792
O  0.8159  0.7356  0.4706
O  0.8159  0.7644  0.9706
O  0.8335  0.1359  0.8484
O  0.8335  0.3641  0.3484
O  0.8369  0.0583  0.3902
O  0.8369  0.4417  0.8902
O  0.8943  0.5124  0.6479
O  0.8943  0.9876  0.1479
O  0.9934  0.2432  0.7110
O  0.9934  0.2568  0.2110

energy relative to the elements, uncorrected = -1.3238 eV per atom
SG = No. 14
crystal system = monoclinic

Bi2PRuRh: optimized geometry, PBEsol.

Lattice parameters (Å, degrees): 5.2398 5.2398 4.2216 90.00 90.00 90.00
Fractional positions:
Bi  0.0000  0.5000  0.0000
Bi  0.5000  0.0000  0.0000
P  0.0000  0.0000  0.0000
Ru  0.0000  0.0000  0.5000
Rh  0.5000  0.5000  0.5000

SG = No. 123
formation energy = 0.940 eV/atom
crystal system = tetragonal

NbAlB2: optimized geometry, PBEsol.

Lattice parameters (Å, degrees): 4.9731 4.9731 4.9731 106.51 106.51 115.57
Fractional positions:
Nb  0.0000  0.0000  0.0000
Nb  0.7500  0.2500  0.5000
Al  0.2500  0.7500  0.5000
Al  0.5000  0.5000  0.0000
B  0.1411  0.1250  0.5161
B  0.3750  0.8589  0.9839
B  0.6089  0.6250  0.4839
B  0.8750  0.3911  0.0161

SG = No. 122
formation energy = 0.371 eV/atom
crystal system = tetragonal

Tm2Fe15Si2: optimized geometry, PBEsol.

Lattice parameters (Å, degrees): 8.0908 8.0908 8.1593 90.00 90.00 120.00
Fractional positions:
Tm  0.0000  0.0000  0.2500
Tm  0.0000  0.0000  0.7500
Tm  0.3333  0.6667  0.2500
Tm  0.6667  0.3333  0.7500
Fe  0.0000  0.5000  0.0000
Fe  0.0000  0.5000  0.5000
Fe  0.0392  0.3695  0.7500
Fe  0.0392  0.6698  0.7500
Fe  0.1666  0.3331  0.0124
Fe  0.1666  0.3331  0.4876
Fe  0.1666  0.8334  0.0124
Fe  0.1666  0.8334  0.4876
Fe  0.3302  0.3695  0.7500
Fe  0.3302  0.9608  0.7500
Fe  0.3331  0.1666  0.5124
Fe  0.3331  0.1666  0.9876
Fe  0.3695  0.0392  0.2500
Fe  0.3695  0.3302  0.2500
Fe  0.5000  0.0000  0.0000
Fe  0.5000  0.0000  0.5000
Fe  0.5000  0.5000  0.0000
Fe  0.5000  0.5000  0.5000
Fe  0.6305  0.6698  0.7500
Fe  0.6305  0.9608  0.7500
Fe  0.6669  0.8334  0.0124
Fe  0.6669  0.8334  0.4876
Fe  0.6698  0.0392  0.2500
Fe  0.6698  0.6305  0.2500
Fe  0.8334  0.1666  0.5124
Fe  0.8334  0.1666  0.9876
Fe  0.8334  0.6669  0.5124
Fe  0.8334  0.6669  0.9876
Fe  0.9608  0.3302  0.2500
Fe  0.9608  0.6305  0.2500
Si  0.3333  0.6667  0.6012
Si  0.3333  0.6667  0.8988
Si  0.6667  0.3333  0.1012
Si  0.6667  0.3333  0.3988

energy relative to the elements, uncorrected = -0.1153 eV per atom
SG = No. 194
crystal system = hexagonal

CdTcF2: optimized geometry, PBEsol.

Lattice parameters (Å, degrees): 8.6274 8.6274 8.6274 18.27 18.27 18.27
Fractional positions:
Cd  0.0000  0.0000  0.0000
Tc  0.5000  0.5000  0.5000
F  0.4250  0.4250  0.4250
F  0.5750  0.5750  0.5750

energy relative to the elements, uncorrected = -1.0798 eV per atom
SG = No. 166
crystal system = trigonal

ZrRe2Cl: optimized geometry, PBEsol.

Lattice parameters (Å, degrees): 5.8313 5.8313 2.9886 104.68 104.68 127.19
Fractional positions:
Zr  0.0000  0.0000  0.0000
Re  0.0000  0.5000  0.5000
Re  0.5000  0.0000  0.5000
Cl  0.5000  0.5000  0.0000

energy relative to the elements, uncorrected = 0.3399 eV per atom
SG = No. 12
offset from the most stable computed form = 1.72 eV/f.u.
crystal system = monoclinic

LiInBr2: optimized geometry, PBEsol.

Lattice parameters (Å, degrees): 7.0199 7.0199 7.0199 144.90 144.90 50.49
Fractional positions:
Li  0.0000  0.0000  0.0000
In  0.2500  0.7500  0.5000
Br  0.5000  0.5000  0.0000
Br  0.7500  0.2500  0.5000

energy relative to the elements, uncorrected = -0.8167 eV per atom
SG = No. 119
offset from the most stable computed form = 0.83 eV/f.u.
crystal system = tetragonal

AlCrRu2: optimized geometry, PBEsol.

Lattice parameters (Å, degrees): 2.8928 2.8928 6.1497 90.00 90.00 90.00
Fractional positions:
Al  0.0000  0.0000  0.0000
Cr  0.5000  0.5000  0.2521
Ru  0.0000  0.0000  0.4707
Ru  0.5000  0.5000  0.7597

SG = No. 99
formation energy = -0.047 eV/atom
crystal system = tetragonal

SrGa2Pt2: optimized geometry, PBEsol.

Lattice parameters (Å, degrees): 6.1693 6.1693 6.1693 139.45 139.45 58.69
Fractional positions:
Sr  0.0000  0.0000  0.0000
Ga  0.2500  0.7500  0.5000
Ga  0.7500  0.2500  0.5000
Pt  0.3751  0.3751  0.0000
Pt  0.6249  0.6249  0.0000

SG = No. 139
formation energy = -0.810 eV/atom
crystal system = tetragonal

no.,VASP energy (eV/atom)
1,-6.498
2,-6.848
3,-6.523
4,-5.594
5,-6.865
6,-8.312
7,-5.159
8,-9.101
9,-2.989
10,-8.716
11,-5.300